Run one
Here is a relaxed TiBe2W crystal from Alexandria. Energies are from GGA-PBE.

abc: 4.110 4.110 4.110
angles: 60.00 60.00 60.00
Element x y z (fractional)
Be1 0.250 0.250 0.250
W1 0.500 0.500 0.500
Be2 0.750 0.750 0.750
Ti1 0.000 0.000 0.000

spin magnetization = 0.000 Bohr magnetons per cell
density of states at the Fermi level = 3.376 states/eV/f.u.

=====

Run two
Here is a relaxed TiBe2W crystal from Alexandria. Energies are from GGA-PBE.

abc: 3.198 3.198 6.146
angles: 74.92 74.92 60.00
Element x y z (fractional)
W1 0.500 0.500 0.500
Be1 0.246 0.246 0.261
Be2 0.754 0.754 0.739
Ti1 0.000 0.000 0.000

spin magnetization = 0.000 Bohr magnetons per cell
density of states at the Fermi level = 1.606 states/eV/f.u.

=====

Least stable: run two